Record 1
RbSrNb: relaxed, PBE.

Cell lengths 6.028, 6.028, 6.028 Å; angles 60.00, 60.00, 60.00 degrees
Fractional coordinates of all 3 atoms:
Sr1 0.750 0.750 0.750
Nb1 0.500 0.500 0.500
Rb1 0.250 0.250 0.250

Results
**Crystal system**: cubic
**Calculated formation energy**: 1469 meV per atom
**Offset from the most stable computed form**: 1066.2 meV/atom
**VASP energy**: -2.770 eV/atom

Record 2
BaLi2Ag2: relaxed, PBE.

Cell lengths 4.500, 4.500, 6.337 Å; angles 90.00, 90.00, 90.00 degrees
Fractional coordinates of all 5 atoms:
Ba1 0.000 0.000 0.000
Li1 0.500 0.000 0.500
Li2 0.000 0.500 0.500
Ag1 0.500 0.500 0.755
Ag2 0.500 0.500 0.245

Results
**Crystal system**: tetragonal
**Calculated formation energy**: -201 meV per atom
**Offset from the most stable computed form**: 0.0 meV/atom
**VASP energy**: -2.491 eV/atom

Record 3
Ac6RuPb3: relaxed, PBE.

Cell lengths 8.112, 10.247, 10.247 Å; angles 102.67, 90.00, 90.00 degrees
Fractional coordinates of all 20 atoms:
Ac1 0.196 0.677 0.629
Ac2 0.696 0.629 0.677
Ac3 0.149 0.392 0.916
Ac4 0.649 0.916 0.392
Ac5 0.250 0.011 0.989
Ac6 0.688 0.231 0.769
Ac7 0.188 0.769 0.231
Ac8 0.750 0.989 0.011
Ac9 0.149 0.084 0.608
Ac10 0.649 0.608 0.084
Ac11 0.196 0.371 0.323
Ac12 0.696 0.323 0.371
Ru1 0.997 0.144 0.856
Ru2 0.497 0.856 0.144
Pb1 0.488 0.921 0.706
Pb2 0.988 0.706 0.921
Pb3 0.384 0.375 0.625
Pb4 0.884 0.625 0.375
Pb5 0.988 0.079 0.294
Pb6 0.488 0.294 0.079

Results
**Crystal system**: orthorhombic
**Calculated formation energy**: -224 meV per atom
**VASP energy**: -4.729 eV/atom

Record 4
ZnAg2Te: relaxed, PBE.

Cell lengths 3.841, 3.841, 5.625 Å; angles 90.00, 90.00, 90.00 degrees
Fractional coordinates of all 4 atoms:
Ag1 0.000 0.000 0.002
Ag2 0.500 0.500 0.231
Te1 0.000 0.000 0.506
Zn1 0.500 0.500 0.761

Results
**Formation energy without anion corrections**: 0.07 eV/atom
**Crystal system**: tetragonal
**Offset from the most stable computed form**: 43.4 meV/atom
**VASP energy**: -2.459 eV/atom

Density readings, ordered: 2.85; 4.75; 8.33; 8.18 g cm⁻³
Total moment readings, ordered: 5.9; 0.0; 0.0; 0.0 μB per cell